DFT (PBE) results for a relaxed CdAg2HgBr6 crystal.

Output
* E_form (uncorrected): -0.47 eV per atom
* crystal system: triclinic

a b c (Å): 7.217 7.220 7.652
angles (deg): 90.02 118.06 119.93
Sites, in units of the cell vectors:
Cd: 0.000 0.000 0.000
Ag: 0.580 0.791 0.371
Ag: 0.598 0.299 0.896
Hg: 0.014 0.507 0.520
Br: 0.104 0.388 0.201
Br: 0.105 0.206 0.701
Br: 0.484 0.096 0.200
Br: 0.496 0.900 0.701
Br: 0.801 0.596 0.700
Br: 0.812 0.716 0.201



DFT (PBE) results for a relaxed Fe2CuCl crystal.

Output
* E_form (uncorrected): 0.63 eV per atom
* crystal system: tetragonal
* relative energy among the computed polymorphs: 0.458 eV/atom

a b c (Å): 5.079 5.079 5.079
angles (deg): 138.57 138.57 60.03
Sites, in units of the cell vectors:
Fe: 0.250 0.750 0.500
Fe: 0.750 0.250 0.500
Cu: 0.000 0.000 0.000
Cl: 0.500 0.500 0.000



DFT (PBE) results for a relaxed CsLiMo2 crystal.

Output
* crystal system: tetragonal
* energy relative to the elements: 1.4499 eV per atom
* relative energy among the computed polymorphs: 0.000 eV/atom

a b c (Å): 11.964 11.964 11.964
angles (deg): 161.29 161.29 26.57
Sites, in units of the cell vectors:
Cs: 0.000 0.000 0.000
Cs: 0.750 0.250 0.500
Li: 0.250 0.750 0.500
Li: 0.500 0.500 0.000
Mo: 0.179 0.125 0.554
Mo: 0.375 0.821 0.946
Mo: 0.571 0.625 0.446
Mo: 0.875 0.429 0.054



DFT (PBE) results for a relaxed CaNiTe2N crystal.

Output
* E_form (uncorrected): 1.23 eV per atom
* crystal system: tetragonal
* relative energy among the computed polymorphs: 1.386 eV/atom

a b c (Å): 5.834 5.834 4.023
angles (deg): 90.00 90.00 90.00
Sites, in units of the cell vectors:
Ca: 0.000 0.000 0.000
Ni: 0.500 0.500 0.500
Te: 0.000 0.500 0.000
Te: 0.500 0.000 0.000
N: 0.000 0.000 0.500



DFT (PBE) results for a relaxed KNaAgO2 crystal.

Output
* E_form (uncorrected): -0.71 eV per atom
* crystal system: orthorhombic
* relative energy among the computed polymorphs: 0.000 eV/atom

a b c (Å): 6.722 6.722 5.544
angles (deg): 90.00 90.00 132.58
Sites, in units of the cell vectors:
K: 0.250 0.750 0.766
K: 0.750 0.250 0.234
Na: 0.250 0.250 0.000
Na: 0.750 0.750 0.000
Ag: 0.000 0.000 0.500
Ag: 0.500 0.500 0.500
O: 0.110 0.890 0.230
O: 0.390 0.610 0.230
O: 0.610 0.390 0.770
O: 0.890 0.110 0.770



DFT (PBE) results for a relaxed Ba2Pt crystal.

Output
* crystal system: orthorhombic
* energy relative to the elements: -0.3998 eV per atom

a b c (Å): 7.964 7.964 6.680
angles (deg): 90.00 90.00 147.62
Sites, in units of the cell vectors:
Ba: 0.033 0.967 0.750
Ba: 0.248 0.752 0.250
Ba: 0.752 0.248 0.750
Ba: 0.967 0.033 0.250
Pt: 0.387 0.613 0.750
Pt: 0.613 0.387 0.250



DFT (PBE) results for a relaxed Ca2MgTl5 crystal.

Output
* crystal system: tetragonal
* energy relative to the elements: -0.2360 eV per atom
* relative energy among the computed polymorphs: 0.000 eV/atom

a b c (Å): 6.674 6.674 6.674
angles (deg): 112.70 112.70 103.19
Sites, in units of the cell vectors:
Ca: 0.000 0.500 0.500
Ca: 0.500 0.000 0.500
Mg: 0.472 0.472 0.000
Tl: 0.041 0.041 0.000
Tl: 0.520 0.520 0.538
Tl: 0.520 0.982 0.000
Tl: 0.982 0.520 0.000
Tl: 0.982 0.982 0.462



DFT (PBE) results for a relaxed NdDy3Y5 crystal.

Output
* crystal system: monoclinic
* energy relative to the elements: 0.2973 eV per atom
* relative energy among the computed polymorphs: 0.232 eV/atom

a b c (Å): 9.710 9.710 11.330
angles (deg): 110.45 110.45 38.10
Sites, in units of the cell vectors:
Nd: 0.129 0.871 0.750
Nd: 0.871 0.129 0.250
Dy: 0.000 0.000 0.000
Dy: 0.000 0.000 0.500
Dy: 0.012 0.648 0.126
Dy: 0.352 0.988 0.374
Dy: 0.648 0.012 0.626
Dy: 0.988 0.352 0.874
Y: 0.112 0.547 0.790
Y: 0.146 0.533 0.485
Y: 0.399 0.601 0.250
Y: 0.453 0.888 0.710
Y: 0.467 0.854 0.015
Y: 0.533 0.146 0.985
Y: 0.547 0.112 0.290
Y: 0.601 0.399 0.750
Y: 0.854 0.467 0.515
Y: 0.888 0.453 0.210



DFT (PBE) results for a relaxed LiOs2Cl crystal.

Output
* E_form (uncorrected): 1.03 eV per atom
* crystal system: tetragonal
* relative energy among the computed polymorphs: 0.909 eV/atom

a b c (Å): 3.085 3.085 6.514
angles (deg): 90.00 90.00 90.00
Sites, in units of the cell vectors:
Li: 0.000 0.000 0.000
Os: 0.500 0.500 0.174
Os: 0.500 0.500 0.826
Cl: 0.000 0.000 0.500